[1]
Compound: CuAgF
Source: Alexandria via LeMat-Bulk
Functional: PBE
Structure: relaxed Values from VASP.

Results
- Energy above the most stable polymorph in this dataset: 60 meV per atom
- Spin magnetization: 0.00 Bohr magnetons per cell

Geometry as Quantum ESPRESSO input:
```
&SYSTEM
  ibrav = 0, nat = 3, ntyp = 3
/
ATOMIC_SPECIES
Cu 63.55 Cu.upf
Ag 107.87 Ag.upf
F 19.00 F.upf
ATOMIC_POSITIONS crystal
Cu 0.000 0.000 0.000
Ag 0.682 0.682 0.000
F 0.380 0.380 0.000
CELL_PARAMETERS angstrom
-1.391 1.391 5.209
1.391 -1.391 5.209
1.391 1.391 -5.209
```

---

[2]
Compound: Cu2Ag3F7
Source: Alexandria via LeMat-Bulk
Functional: PBE
Structure: relaxed Values from VASP.

Results
- DFT total energy: -44.5 eV per cell
- Spin magnetization: 1.68 Bohr magnetons per cell

Geometry as Quantum ESPRESSO input:
```
&SYSTEM
  ibrav = 0, nat = 12, ntyp = 3
/
ATOMIC_SPECIES
Cu 63.55 Cu.upf
Ag 107.87 Ag.upf
F 19.00 F.upf
ATOMIC_POSITIONS crystal
Cu 0.100 0.100 0.000
Cu 0.900 0.900 0.000
Ag 0.313 0.313 0.000
Ag 0.500 0.500 0.000
Ag 0.687 0.687 0.000
F 0.000 0.000 0.000
F 0.098 0.598 0.500
F 0.200 0.200 0.000
F 0.402 0.902 0.500
F 0.598 0.098 0.500
F 0.800 0.800 0.000
F 0.902 0.402 0.500
CELL_PARAMETERS angstrom
-2.014 2.014 10.105
2.014 -2.014 10.105
2.014 2.014 -10.105
```